Entry 1:
First-principles (PBE) data for a geometry-optimized KOsO4F structure, as listed in Alexandria.

Cell and atoms, written as CIF:
```
data_KOsO4F
_cell_length_a 8.9541
_cell_length_b 8.6295
_cell_length_c 7.8730
_cell_angle_alpha 90.00
_cell_angle_beta 98.24
_cell_angle_gamma 90.00
_space_group_name_H-M_alt 'C 1 2/m 1'
_space_group_IT_number 12
_space_group_name_Hall '-C 2y'
loop_
_atom_site_label
_atom_site_fract_x
_atom_site_fract_y
_atom_site_fract_z
K1 0.1699 0.0000 0.1767
Os1 0.1666 0.5000 0.2555
O1 0.0138 0.5000 0.6854
O2 0.1573 0.3273 0.1400
O3 0.2220 0.0000 0.5449
F1 0.1158 0.0000 0.8328
```

Output
Energy relative to the elements, uncorrected ... -1.469 eV/atom
Total energy ... -6.331 eV per atom
Theoretical density ... 3.45 g cm⁻³



Entry 2:
First-principles (PBE) data for a geometry-optimized NaCa2Gd structure, as listed in Alexandria.

Cell and atoms, written as CIF:
```
data_NaCa2Gd
_cell_length_a 6.1704
_cell_length_b 6.1704
_cell_length_c 3.9709
_cell_angle_alpha 90.00
_cell_angle_beta 90.00
_cell_angle_gamma 90.00
_space_group_name_H-M_alt 'P 4/m m m'
_space_group_IT_number 123
_space_group_name_Hall '-P 4 2'
loop_
_atom_site_label
_atom_site_fract_x
_atom_site_fract_y
_atom_site_fract_z
Na1 0.0000 0.0000 0.0000
Ca1 0.0000 0.5000 0.5000
Gd1 0.5000 0.5000 0.0000
```

Output
Total energy ... -4.688 eV per atom
Distance to the lowest polymorph of the same formula ... 32 kJ/mol of formula units
Formation energy from the elements ... 0.163 eV/atom
Theoretical density ... 2.86 g cm⁻³



- Which of these has the lowest total energy?
  KOsO4F



- Which of these has the lowest theoretical density?
  NaCa2Gd



- theoretical density of number 2 (NaCa2Gd)?
  2.86 g cm⁻³